Density functional theory data (PBE+U) for an optimized crystal structure of RbCr2CuO8.

- total DFT energy (no corrections) (eV per atom) = -6.0815

Unit cell a=5.078 b=5.078 c=8.911 alpha=73.45 beta=73.45 gamma=60.00
Fractional positions:
O1 0.380 0.753 0.859
O2 0.007 0.380 0.859
Cr1 0.266 0.266 0.201
Cr2 0.734 0.734 0.799
O3 0.799 0.799 0.604
O4 0.201 0.201 0.396
O5 0.993 0.620 0.141
O6 0.620 0.247 0.141
O7 0.247 0.993 0.141
Rb1 0.500 0.500 0.500
O8 0.753 0.007 0.859
Cu1 0.000 0.000 0.000